KSmMo2O8: relaxed, PBE+U.

Unit cell a=7.5460 b=7.5460 c=8.0997 alpha=118.71 beta=118.71 gamma=87.55
Sites, in units of the cell vectors:
1 K 0.1898 0.8102 0.7500
2 K 0.8102 0.1898 0.2500
3 Sm 0.2283 0.7717 0.2500
4 Sm 0.7717 0.2283 0.7500
5 Mo 0.3040 0.3122 0.7600
6 Mo 0.3122 0.3040 0.2600
7 Mo 0.6878 0.6960 0.7400
8 Mo 0.6960 0.6878 0.2400
9 O 0.0593 0.2001 0.7008
10 O 0.0775 0.3872 0.1230
11 O 0.2001 0.0593 0.2008
12 O 0.2213 0.4009 0.5746
13 O 0.3686 0.5811 0.0316
14 O 0.3872 0.0775 0.6230
15 O 0.4009 0.2213 0.0746
16 O 0.4189 0.6314 0.4684
17 O 0.5811 0.3686 0.5316
18 O 0.5991 0.7787 0.9254
19 O 0.6128 0.9225 0.3770
20 O 0.6314 0.4189 0.9684
21 O 0.7787 0.5991 0.4254
22 O 0.7999 0.9407 0.7992
23 O 0.9225 0.6128 0.8770
24 O 0.9407 0.7999 0.2992

E_tot in eV/atom: -7.123
Symmetry: C2/c, No. 15